1.
4
Lattice="0.000 2.982 2.982 2.982 0.000 2.982 2.982 2.982 0.000" Properties=species:S:1:pos:R:3 comment="PBE SbSeN2, optimized geometry" dos_ef_per_ev_atom=0.450 density_g_cm3=7.2 final_energy_ev_per_atom=-4.332 pbc="T T T"
Sb 2.982 2.982 2.982
Se 0.000 0.000 0.000
N 1.491 1.491 1.491
N 4.473 4.473 4.473

2.
7
Lattice="-0.304 2.280 -4.257 -2.220 -2.132 -3.733 -7.601 3.245 -0.470" Properties=species:S:1:pos:R:3 comment="PBE Li2TmMg2In2, optimized geometry" ef_ev_per_atom=-0.241 dos_ef_per_ev_atom=0.553 density_g_cm3=4.8 final_energy_ev_per_atom=-2.665 pbc="T T T"
Li -3.249 0.839 -4.819
Li -6.875 2.554 -3.642
Tm 0.000 0.000 0.000
Mg -4.875 1.957 -1.354
Mg -5.249 1.436 -7.106
In -7.894 2.687 -6.248
In -2.230 0.706 -2.213